Compound: K2VMoO6
Source: Alexandria
Functional: GGA+U
Structure: relaxed

Space group: R-3m (166)
E, eV for the cell shown: -128.69
ρ, Mg/m³: 3.928

a b c (Å): 9.9095 9.9095 9.9095
angles (deg): 34.02 34.02 34.02
Closest atoms and distances in Å follow each position.
Element x y z (fractional)
K  0.1316  0.1316  0.1316  12 O 2.92-3.10
K  0.2795  0.2795  0.2795  9 O 2.66-2.93
K  0.7205  0.7205  0.7205  9 O 2.66-2.93
K  0.8684  0.8684  0.8684  12 O 2.92-3.10
V  0.4029  0.4029  0.4029  3 O 1.83
V  0.5971  0.5971  0.5971  3 O 1.83
Mo  0.0000  0.0000  0.0000  6 O 2.05
Mo  0.5000  0.5000  0.5000  6 O 1.94
O  0.1619  0.6012  0.6012  1 Mo 1.94, 1 V 2.07
O  0.2111  0.2111  0.6959  1 V 1.83, 1 Mo 2.05
O  0.2111  0.6959  0.2111  1 V 1.83, 1 Mo 2.05
O  0.3041  0.7889  0.7889  1 V 1.83, 1 Mo 2.05
O  0.3988  0.3988  0.8381  1 Mo 1.94, 1 V 2.07
O  0.3988  0.8381  0.3988  1 Mo 1.94, 1 V 2.07
O  0.6012  0.1619  0.6012  1 Mo 1.94, 1 V 2.07
O  0.6012  0.6012  0.1619  1 Mo 1.94, 1 V 2.07
O  0.6959  0.2111  0.2111  1 V 1.83, 1 Mo 2.05
O  0.7889  0.3041  0.7889  1 V 1.83, 1 Mo 2.05
O  0.7889  0.7889  0.3041  1 V 1.83, 1 Mo 2.05
O  0.8381  0.3988  0.3988  1 Mo 1.94, 1 V 2.07